## Pa2AlRe (PBE-GGA)

Data for a relaxed structure of Pa2AlRe.

abc: 5.638 5.638 17.166
angles: 90.00 90.00 90.00
Space group I4_1/amd (No. 141, origin choice 2)
One atom of each set of equivalent atoms:
Pa (0.000, 0.000, 0.000) (multiplicity 8)
Al (0.000, 0.250, 0.375) (multiplicity 4)
Re (0.000, 0.250, 0.875) (multiplicity 4)

Results
Spin magnetization, μB per cell: 3.4
Energy of formation from the pure elements, eV/atom: 1.47
Volume, Å³/atom: 34.10
E above lowest polymorph, meV/atom: 1595.9